Record 1
The following is a DFT calculation (GGA+U) of a relaxed structure of Ni2Hg2AsO6.

Structure (POSCAR):
```
Ni2Hg2AsO6
1.0
2.610 -4.564 0.000
2.610 4.564 0.000
-0.256 0.000 6.267
Ni Hg As O
2 2 1 6
Direct
0.162 0.838 0.000
0.838 0.162 0.000
0.334 0.666 0.500
0.666 0.334 0.500
0.500 0.500 0.000
0.198 0.198 0.841
0.201 0.510 0.164
0.490 0.799 0.836
0.510 0.201 0.164
0.799 0.490 0.836
0.802 0.802 0.159
```

Results
- E_tot: -0.164 hartree per atom
- M_tot: 3.83 μB per cell

---

Record 2
The following is a DFT calculation (GGA+U) of a relaxed structure of NiHgAs2O6.

Structure (POSCAR):
```
NiHgAs2O6
1.0
5.342 -4.270 0.000
5.342 4.270 0.000
-3.177 0.000 6.353
Ni Hg As O
2 2 4 12
Direct
0.235 0.765 0.750
0.765 0.235 0.250
0.366 0.634 0.250
0.634 0.366 0.750
0.146 0.242 0.632
0.242 0.146 0.132
0.758 0.854 0.868
0.854 0.758 0.368
0.102 0.203 0.322
0.128 0.687 0.424
0.203 0.102 0.822
0.282 0.465 0.780
0.313 0.872 0.076
0.465 0.282 0.280
0.535 0.718 0.720
0.687 0.128 0.924
0.718 0.535 0.220
0.797 0.898 0.178
0.872 0.313 0.576
0.898 0.797 0.678
```

Results
- E_tot: -0.186 hartree per atom
- M_tot: 3.81 μB per cell